SnSbTe2Mo | GGA-PBE | relaxed

Values from the calculation:
- ΔE to the lowest computed polymorph: 0 meV/atom
- Raw total energy: -4.5813 eV/atom
- Raw formation energy: 0.47 eV per atom

Lattice parameters (Å, degrees): 5.343 5.343 5.251 90.00 90.00 90.00
Fractional coordinates of all 5 atoms:
Sn  0.000  0.000  0.000
Sb  0.500  0.500  0.000
Te  0.000  0.500  0.500
Te  0.500  0.000  0.500
Mo  0.500  0.500  0.500



Pm2SbAs3Ir4 | GGA-PBE | relaxed

Values from the calculation:
- Raw total energy: -6.9674 eV/atom
- Raw formation energy: -0.67 eV per atom

Lattice parameters (Å, degrees): 4.241 4.241 10.741 90.00 90.00 90.00
Fractional coordinates of all 10 atoms:
Pm  0.000  0.500  0.235
Pm  0.500  0.000  0.765
Sb  0.000  0.000  0.500
As  0.000  0.500  0.866
As  0.500  0.000  0.134
As  0.500  0.500  0.500
Ir  0.000  0.000  0.000
Ir  0.000  0.500  0.641
Ir  0.500  0.000  0.359
Ir  0.500  0.500  0.000



NaPuTlGa | GGA-PBE | relaxed

Values from the calculation:
- Raw total energy: -5.2963 eV/atom

Lattice parameters (Å, degrees): 5.220 5.220 5.220 60.00 60.00 60.00
Fractional coordinates of all 4 atoms:
Na  0.000  0.000  0.000
Pu  0.500  0.500  0.500
Tl  0.750  0.750  0.750
Ga  0.250  0.250  0.250



SnGeS | GGA-PBE | relaxed

Values from the calculation:
- ΔE to the lowest computed polymorph: 28 meV/atom
- Raw total energy: -4.3521 eV/atom
- Raw formation energy: -0.10 eV per atom

Lattice parameters (Å, degrees): 9.305 9.305 4.280 92.30 92.30 23.51
Fractional coordinates of all 6 atoms:
Sn  0.000  0.000  0.000
Sn  0.164  0.164  0.011
Ge  0.463  0.463  0.494
Ge  0.791  0.791  0.719
S  0.337  0.337  0.392
S  0.669  0.669  0.446



Tb2RuCl | GGA-PBE | relaxed

Values from the calculation:
- ΔE to the lowest computed polymorph: 127 meV/atom
- Raw total energy: -5.9338 eV/atom
- Raw formation energy: -0.84 eV per atom

Lattice parameters (Å, degrees): 7.926 7.926 7.926 28.61 28.61 28.61
Fractional coordinates of all 4 atoms:
Tb  0.000  0.000  0.000
Tb  0.199  0.199  0.199
Ru  0.600  0.600  0.600
Cl  0.770  0.770  0.770



TlSi2Mo | GGA-PBE | relaxed

Values from the calculation:
- ΔE to the lowest computed polymorph: 0 meV/atom
- Raw total energy: -5.8574 eV/atom
- Raw formation energy: 0.15 eV per atom

Lattice parameters (Å, degrees): 3.161 3.288 7.463 90.00 99.85 90.00
Fractional coordinates of all 4 atoms:
Tl  0.000  0.000  0.000
Si  0.436  0.500  0.330
Si  0.564  0.500  0.670
Mo  0.000  0.000  0.500



USe | GGA-PBE | relaxed

Values from the calculation:
- Raw total energy: -8.3129 eV/atom
- Raw formation energy: -0.93 eV per atom

Lattice parameters (Å, degrees): 3.769 3.617 7.020 90.00 97.87 90.00
Fractional coordinates of all 4 atoms:
U  0.161  0.250  0.104
U  0.839  0.750  0.896
Se  0.319  0.250  0.702
Se  0.681  0.750  0.298



Mg2Sn2Rh3 | GGA-PBE | relaxed

Values from the calculation:
- Raw total energy: -5.2769 eV/atom

Lattice parameters (Å, degrees): 4.535 4.535 7.543 107.29 107.29 59.90
Fractional coordinates of all 7 atoms:
Mg  0.131  0.131  0.394
Mg  0.869  0.869  0.606
Sn  0.389  0.389  0.169
Sn  0.611  0.611  0.831
Rh  0.000  0.000  0.000
Rh  0.261  0.261  0.781
Rh  0.739  0.739  0.219



| no. | total magnetization (μB/atom) | density (kg/m3) |
| --- | --- | --- |
| 1 | 0.0273 | 6554 |
| 2 | 0.0000 | 12080 |
| 3 | 1.3904 | 8933 |
| 4 | 0.0000 | 5023 |
| 5 | 0.0000 | 7475 |
| 6 | 0.0000 | 7745 |
| 7 | 0.0000 | 11105 |
| 8 | 0.0000 | 7835 |